12
Lattice="3.803 0.000 0.000 -1.902 3.294 0.000 0.000 0.000 24.761" Properties=species:S:1:pos:R:3 comment="Er2SnSe (PBE-GGA, optimized geometry)" space_group="No. 160" dos_ef_per_ev_cell=6.548 raw_formation_energy_ev_per_atom=-1.06 total_energy_ev_per_atom=-5.22 pbc="T T T"
Er 0.000 0.000 0.000
Er 0.000 0.000 3.773
Er 0.000 2.196 16.507
Er 0.000 2.196 20.280
Er 1.902 1.098 8.254
Er 1.902 1.098 12.027
Sn 0.000 0.000 14.248
Sn 0.000 2.196 5.995
Sn 1.902 1.098 22.502
Se 0.000 0.000 18.418
Se 0.000 2.196 10.165
Se 1.902 1.098 1.911



12
Lattice="5.982 0.000 0.000 0.000 5.982 0.000 0.000 0.000 8.347" Properties=species:S:1:pos:R:3 comment="RbPuS4 (PBE-GGA, optimized geometry)" space_group="No. 125" dos_ef_per_ev_cell=17.177 raw_formation_energy_ev_per_atom=-1.04 total_energy_ev_per_atom=-6.34 pbc="T T T"
Rb 1.495 1.495 0.000
Rb 4.486 4.486 0.000
Pu 1.495 1.495 4.173
Pu 4.486 4.486 4.173
S 0.747 3.737 2.541
S 0.747 5.235 5.806
S 2.244 3.737 5.806
S 2.244 5.235 2.541
S 3.737 0.747 5.806
S 3.737 2.244 2.541
S 5.235 0.747 2.541
S 5.235 2.244 5.806



3
Lattice="3.780 0.000 0.000 -1.890 3.273 0.000 0.000 0.000 2.489" Properties=species:S:1:pos:R:3 comment="MnBeSi (PBE-GGA, optimized geometry)" space_group="No. 187" dos_ef_per_ev_cell=1.423 raw_formation_energy_ev_per_atom=-0.16 total_energy_ev_per_atom=-6.27 pbc="T T T"
Mn 0.000 0.000 0.000
Be 0.000 2.182 1.244
Si 1.890 1.091 1.244



16
Lattice="-3.292 3.292 5.563 3.292 -3.292 5.563 3.292 3.292 -5.563" Properties=species:S:1:pos:R:3 comment="ReIr2Rh5 (PBE-GGA, optimized geometry)" space_group="No. 140" dos_ef_per_ev_cell=24.483 total_energy_ev_per_atom=-8.08 formation_enthalpy_0k_mev_per_atom=283 pbc="T T T"
Re 0.000 0.000 2.782
Re 0.000 0.000 8.345
Ir 4.189 0.897 0.000
Ir 0.897 2.394 0.000
Ir 2.394 0.897 5.563
Ir -0.897 2.394 5.563
Rh 0.000 0.000 0.000
Rh 4.286 -0.994 1.873
Rh 2.298 -0.994 3.690
Rh 2.298 0.994 1.873
Rh 4.286 0.994 3.690
Rh 0.000 0.000 5.563
Rh -0.994 2.298 1.873
Rh 0.994 2.298 3.690
Rh 0.994 4.286 1.873
Rh -0.994 4.286 3.690